The following is a PBE calculation of a geometry-optimized DyTaSi2Ru structure, from the Alexandria database.

Output
E_form (uncorrected): -322 kJ/mol of formula units
total moment: 0.000 μB per atom

Structure (CIF):
```
data_DyTaSi2Ru
_space_group_name_H-M_alt 'I -4 m 2'
_space_group_IT_number 119
_space_group_name_Hall 'I -4 -2'
_cell_length_a 4.008
_cell_length_b 4.008
_cell_length_c 11.011
_cell_angle_alpha 90.00
_cell_angle_beta 90.00
_cell_angle_gamma 90.00
loop_
_atom_site_label
_atom_site_type_symbol
_atom_site_fract_x
_atom_site_fract_y
_atom_site_fract_z
Dy1 Dy 0.000 0.000 0.000
Ta1 Ta 0.000 0.500 0.250
Si1 Si 0.000 0.000 0.392
Ru1 Ru 0.000 0.500 0.750
```